{
  "formula": "K2CaNiH6",
  "functional": "PBE",
  "state": "optimized geometry",
  "dos_ef_per_ev_cell": 2.93,
  "final_energy_ev_per_atom": -3.20,
  "vol_a3_per_cell": 165,
  "lattice": [[5.770, 0.000, 0.000], [-2.885, 4.997, 0.000], [0.000, 0.000, 5.735]],
  "species": ["K", "K", "Ca", "Ni", "H", "H", "H", "H", "H", "H"],
  "frac_coords": [[0.333, 0.667, 0.141], [0.667, 0.333, 0.859], [0.000, 0.000, 0.500], [0.000, 0.000, 0.000], [0.129, 0.259, 0.833], [0.129, 0.871, 0.833], [0.259, 0.129, 0.167], [0.741, 0.871, 0.833], [0.871, 0.129, 0.167], [0.871, 0.741, 0.167]]
}

---

{
  "formula": "Tm5Sc3As8",
  "functional": "PBE",
  "state": "optimized geometry",
  "dos_ef_per_ev_cell": 2.77,
  "final_energy_ev_per_atom": -6.36,
  "vol_a3_per_cell": 361,
  "formation_enthalpy_0k_kj_per_mol_atoms": -140,
  "lattice": [[3.997, 2.308, 6.524], [-3.997, 2.308, 6.524], [0.000, -4.616, 6.524]],
  "species": ["Tm", "Tm", "Tm", "Tm", "Tm", "Sc", "Sc", "Sc", "As", "As", "As", "As", "As", "As", "As", "As"],
  "frac_coords": [[0.000, 0.000, 0.000], [0.000, 0.500, 0.500], [0.500, 0.000, 0.500], [0.500, 0.500, 0.000], [0.500, 0.500, 0.500], [0.000, 0.000, 0.500], [0.000, 0.500, 0.000], [0.500, 0.000, 0.000], [0.243, 0.750, 0.750], [0.246, 0.246, 0.246], [0.250, 0.250, 0.757], [0.250, 0.757, 0.250], [0.750, 0.243, 0.750], [0.750, 0.750, 0.243], [0.754, 0.754, 0.754], [0.757, 0.250, 0.250]]
}

---

{
  "formula": "TiNi",
  "functional": "PBE",
  "state": "optimized geometry",
  "dos_ef_per_ev_cell": 14.07,
  "final_energy_ev_per_atom": -6.41,
  "vol_a3_per_cell": 247,
  "formation_enthalpy_0k_kj_per_mol_atoms": 41,
  "lattice": [[10.561, 0.000, 0.000], [-5.280, 9.146, 0.000], [0.000, 0.000, 2.560]],
  "species": ["Ti", "Ti", "Ti", "Ti", "Ti", "Ti", "Ni", "Ni", "Ni", "Ni", "Ni", "Ni"],
  "frac_coords": [[0.189, 0.483, 0.250], [0.295, 0.811, 0.250], [0.483, 0.295, 0.750], [0.517, 0.705, 0.250], [0.705, 0.189, 0.750], [0.811, 0.517, 0.750], [0.053, 0.618, 0.250], [0.382, 0.435, 0.250], [0.435, 0.053, 0.750], [0.565, 0.947, 0.250], [0.618, 0.565, 0.750], [0.947, 0.382, 0.750]]
}

---

{
  "formula": "Bi2Pt",
  "functional": "PBE",
  "state": "optimized geometry",
  "dos_ef_per_ev_cell": 1.95,
  "final_energy_ev_per_atom": -4.82,
  "vol_a3_per_cell": 85,
  "formation_enthalpy_0k_kj_per_mol_atoms": -21,
  "lattice": [[4.190, 0.000, 0.000], [-2.095, 3.629, 0.000], [0.000, 0.000, 5.571]],
  "species": ["Bi", "Bi", "Pt"],
  "frac_coords": [[0.333, 0.667, 0.250], [0.667, 0.333, 0.750], [0.000, 0.000, 0.000]]
}

---

{
  "formula": "TbHSe",
  "functional": "PBE",
  "state": "optimized geometry",
  "dos_ef_per_ev_cell": 0.00,
  "final_energy_ev_per_atom": -5.11,
  "vol_a3_per_cell": 109,
  "lattice": [[5.342, -1.926, 0.000], [5.342, 1.926, 0.000], [-4.512, 0.000, 5.294]],
  "species": ["Tb", "Tb", "H", "H", "Se", "Se"],
  "frac_coords": [[0.216, 0.216, 0.174], [0.784, 0.784, 0.826], [0.199, 0.199, 0.841], [0.801, 0.801, 0.159], [0.452, 0.452, 0.722], [0.548, 0.548, 0.278]]
}

---

{
  "formula": "Pr2DyLu",
  "functional": "PBE",
  "state": "optimized geometry",
  "dos_ef_per_ev_cell": 6.77,
  "final_energy_ev_per_atom": -4.58,
  "vol_a3_per_cell": 134,
  "formation_enthalpy_0k_kj_per_mol_atoms": 9,
  "relative_energy_ev_per_atom": 0.075,
  "lattice": [[0.000, 4.060, 4.060], [4.060, 0.000, 4.060], [4.060, 4.060, 0.000]],
  "species": ["Pr", "Pr", "Dy", "Lu"],
  "frac_coords": [[0.250, 0.250, 0.250], [0.750, 0.750, 0.750], [0.000, 0.000, 0.000], [0.500, 0.500, 0.500]]
}